[1]
ZnFeTe3 at its PBEsol-relaxed geometry. Source: Alexandria via LeMat-Bulk, functional SCAN.

Lattice parameters (Å, degrees): 5.157 5.157 5.157 90.00 90.00 90.00
Each line ends with the local moment (μB).
Fractional coordinates of all 5 atoms:
Te  0.500  0.000  0.000  0.10
Zn  0.000  0.000  0.000  0.00
Te  0.000  0.500  0.000  0.10
Te  0.000  0.000  0.500  0.10
Fe  0.500  0.500  0.500  3.48

Output
Density: 6.10 Mg/m³
Uncorrected formation energy: 0.906 eV/atom
Density of states at the Fermi level: 1.472 states/eV per atom

=====

[2]
ZnFe2Te at its PBEsol-relaxed geometry. Source: Alexandria via LeMat-Bulk, functional SCAN.

Lattice parameters (Å, degrees): 4.372 4.372 4.372 60.00 60.00 60.00
Each line ends with the local moment (μB).
Fractional coordinates of all 4 atoms:
Te  0.500  0.500  0.500  -0.02
Fe  0.750  0.750  0.750  2.52
Zn  0.250  0.250  0.250  -0.11
Fe  0.000  0.000  0.000  2.72

Output
Density: 8.56 Mg/m³
Uncorrected formation energy: 0.448 eV/atom
Energy above the most stable polymorph in this dataset: 15.42 kJ/mol of atoms
Density of states at the Fermi level: 0.594 states/eV per atom

=====

[3]
ZnFe2Te at its PBEsol-relaxed geometry. Source: Alexandria via LeMat-Bulk, functional SCAN.

Lattice parameters (Å, degrees): 3.072 3.072 8.145 79.13 79.13 60.00
Each line ends with the local moment (μB).
Fractional coordinates of all 4 atoms:
Zn  0.735  0.735  0.794  -0.06
Te  0.513  0.513  0.460  -0.06
Fe  0.260  0.260  0.221  2.46
Fe  0.992  0.992  0.024  2.85

Output
Density: 7.79 Mg/m³
Uncorrected formation energy: 0.372 eV/atom
Energy above the most stable polymorph in this dataset: 8.02 kJ/mol of atoms
Density of states at the Fermi level: 0.804 states/eV per atom

=====

[4]
ZnFe2Te at its PBEsol-relaxed geometry. Source: Alexandria via LeMat-Bulk, functional SCAN.

Lattice parameters (Å, degrees): 3.462 3.997 4.925 113.94 110.58 90.00
Each line ends with the local moment (μB).
Fractional coordinates of all 4 atoms:
Zn  0.255  0.755  0.509  -0.09
Fe  0.737  0.237  0.474  2.71
Te  0.488  0.488  0.977  0.01
Fe  0.020  0.020  0.039  2.48

Output
Density: 8.80 Mg/m³
Uncorrected formation energy: 0.288 eV/atom
Energy above the most stable polymorph in this dataset: 0.00 kJ/mol of atoms
Density of states at the Fermi level: 0.539 states/eV per atom

=====

[5]
Zr2FeTe at its PBEsol-relaxed geometry. Source: Alexandria via LeMat-Bulk, functional SCAN.

Lattice parameters (Å, degrees): 3.412 4.446 5.635 113.23 107.62 90.00
Each line ends with the local moment (μB).
Fractional coordinates of all 4 atoms:
Te  0.788  0.288  0.575  0.03
Zr  0.995  0.995  0.991  -0.31
Zr  0.220  0.720  0.440  -0.30
Fe  0.497  0.497  0.994  2.01

Output
Density: 8.19 Mg/m³
Uncorrected formation energy: -0.287 eV/atom
Density of states at the Fermi level: 0.802 states/eV per atom

=====

[6]
ZrFe2Te at its PBEsol-relaxed geometry. Source: Alexandria via LeMat-Bulk, functional SCAN.

Lattice parameters (Å, degrees): 3.334 4.163 4.908 90.00 102.43 90.00
Each line ends with the local moment (μB).
Fractional coordinates of all 4 atoms:
Fe  0.678  0.500  0.209  2.20
Te  0.638  0.000  0.495  0.02
Fe  0.959  0.000  0.048  2.78
Zr  0.226  0.500  0.747  -0.41

Output
Density: 8.25 Mg/m³
Uncorrected formation energy: 0.022 eV/atom
Density of states at the Fermi level: 0.677 states/eV per atom

=====

[7]
ZrFeTe4 at its PBEsol-relaxed geometry. Source: Alexandria via LeMat-Bulk, functional SCAN.

Lattice parameters (Å, degrees): 6.061 6.061 6.061 60.00 60.00 60.00
Each line ends with the local moment (μB).
Fractional coordinates of all 6 atoms:
Te  0.375  0.375  0.875  0.06
Te  0.875  0.375  0.375  0.06
Fe  0.000  0.000  0.000  3.45
Zr  0.750  0.750  0.750  -0.94
Te  0.375  0.875  0.375  0.06
Te  0.375  0.375  0.375  0.06

Output
Density: 6.93 Mg/m³
Uncorrected formation energy: 0.873 eV/atom
Density of states at the Fermi level: 0.770 states/eV per atom

=====

[8]
Zr2FeTe at its PBEsol-relaxed geometry. Source: Alexandria via LeMat-Bulk, functional SCAN.

Lattice parameters (Å, degrees): 3.818 4.441 4.441 90.00 90.00 90.00
Each line ends with the local moment (μB).
Fractional coordinates of all 4 atoms:
Zr  0.000  0.500  0.000  -0.11
Fe  0.500  0.500  0.500  2.43
Zr  0.000  0.000  0.500  -0.11
Te  0.500  0.000  0.000  0.02

Output
Density: 8.07 Mg/m³
Uncorrected formation energy: -0.325 eV/atom
Density of states at the Fermi level: 0.600 states/eV per atom